# ScFeS2N

A geometry-optimized ScFeS2N structure (PBE, Alexandria via LeMat-Bulk).

Summary:
The space group is P4/mmm. The calculation puts the uncorrected formation energy at 0.408 eV per atom. The total energy comes out at -5.8670 eV per atom.

Cell and atoms, written as POSCAR:
```
ScFeS2N
1.0
4.9521 0.0000 0.0000
0.0000 4.9521 0.0000
0.0000 0.0000 4.0626
Sc S Fe N
1 2 1 1
direct
0.0000 0.0000 0.0000 Sc
0.0000 0.5000 0.0000 S
0.5000 0.0000 0.0000 S
0.5000 0.5000 0.5000 Fe
0.0000 0.0000 0.5000 N
```

=====

# ScFeSN2

A geometry-optimized ScFeSN2 structure (PBE, Alexandria via LeMat-Bulk).

Summary:
The space group is P4/mmm. The calculation puts the uncorrected formation energy at 0.847 eV per atom. The total energy comes out at -6.2680 eV per atom.

Cell and atoms, written as POSCAR:
```
ScFeSN2
1.0
3.9875 0.0000 0.0000
0.0000 3.9875 0.0000
0.0000 0.0000 5.2310
Sc S Fe N
1 1 1 2
direct
0.0000 0.0000 0.0000 Sc
0.0000 0.0000 0.5000 S
0.5000 0.5000 0.5000 Fe
0.0000 0.5000 0.0000 N
0.5000 0.0000 0.0000 N
```

=====

# ScFeSN2

A geometry-optimized ScFeSN2 structure (PBE, Alexandria via LeMat-Bulk).

Summary:
The space group is P4/mmm. The calculation puts the uncorrected formation energy at -0.045 eV per atom. The total energy comes out at -7.1593 eV per atom.

Cell and atoms, written as POSCAR:
```
ScFeSN2
1.0
-1.1895 2.4136 2.4702
0.5068 -2.4624 2.6500
4.3729 1.5433 0.5978
Sc S Fe N
1 1 1 2
direct
0.5000 0.5000 0.5000 Sc
0.0000 0.0000 0.5000 S
0.0000 0.0000 0.0000 Fe
0.0000 0.5000 0.0000 N
0.5000 0.0000 0.0000 N
```